CuAsPd3 after structural relaxation. Source: Alexandria via LeMat-Bulk, functional PBE-GGA.

The value obtained for the volume is 304.9 Å³ per cell. Its formation energy is -0.22 eV per atom.

It has space group P2_1/c (No. 14), with a = 6.1027 Å, b = 5.2839 Å, c = 9.8939 Å, α = 90.00°, β = 107.11° and γ = 90.00°. The inequivalent atoms are Cu at (0.1341, 0.0768, 0.1260), As at (0.2682, 0.7134, 0.0004), Pd at (0.0433, 0.5617, 0.1559), Pd at (0.3260, 0.1330, 0.9018) and Pd at (0.4823, 0.6195, 0.8260).



LiNiI after structural relaxation. Source: Alexandria via LeMat-Bulk, functional PBE-GGA.

The value obtained for the volume is 134.7 Å³ per cell. As for the uncorrected formation energy: 124 meV per atom.

It has space group P4/nmm (No. 129, origin choice 2), with a = 5.3062 Å, b = 5.3062 Å, c = 4.7831 Å, α = 90.00°, β = 90.00° and γ = 90.00°. The inequivalent atoms are Li at (0.2500, 0.2500, 0.0035), Ni at (0.2500, 0.2500, 0.5031) and I at (0.2500, 0.7500, 0.5000).



RbNa3Cd after structural relaxation. Source: Alexandria via LeMat-Bulk, functional PBE-GGA.

The value obtained for the volume is 335.9 Å³ per cell. Its formation energy is 0.53 eV per atom.

It has space group Pm-3m (No. 221), with a = 6.9517 Å, b = 6.9517 Å, c = 6.9517 Å, α = 90.00°, β = 90.00° and γ = 90.00°. The inequivalent atoms are Rb at (0.0000, 0.0000, 0.0000), Na at (0.0000, 0.0000, 0.5000) and Cd at (0.5000, 0.5000, 0.5000).



Pu2Ge3Pt3 after structural relaxation. Source: Alexandria via LeMat-Bulk, functional PBE-GGA.

The value obtained for the volume is 340.1 Å³ per cell. Its formation energy is -0.54 eV per atom.

It has space group P6_3/mcm (No. 193), with a = 7.6624 Å, b = 7.6624 Å, c = 6.6880 Å, α = 90.00°, β = 90.00° and γ = 120.00°. The inequivalent atoms are Pu at (0.3333, 0.6667, 0.0000), Ge at (0.0000, 0.2950, 0.2500) and Pt at (0.0000, 0.3523, 0.7500).



MgFeAgRh after structural relaxation. Source: Alexandria via LeMat-Bulk, functional PBE-GGA.

The value obtained for the volume is 243.9 Å³ per cell. Its formation energy is -0.05 eV per atom.

It has space group F-43m (No. 216), with a = 6.2481 Å, b = 6.2481 Å, c = 6.2481 Å, α = 90.00°, β = 90.00° and γ = 90.00°. The inequivalent atoms are Mg at (0.0000, 0.0000, 0.0000), Fe at (0.0000, 0.0000, 0.5000), Ag at (0.2500, 0.2500, 0.7500) and Rh at (0.2500, 0.2500, 0.2500).



Sc4PdRh after structural relaxation. Source: Alexandria via LeMat-Bulk, functional PBE-GGA.

The value obtained for the volume is 265.7 Å³ per cell. Its formation energy is -0.52 eV per atom.

It has space group C2/m (No. 12), with a = 6.4206 Å, b = 6.4205 Å, c = 6.4447 Å, α = 90.00°, β = 90.09° and γ = 90.00°. The inequivalent atoms are Sc at (0.2497, 0.2499, 0.2441), Pd at (0.0000, 0.0000, 0.5000) and Rh at (0.0000, 0.5000, 0.0000).



In the order shown, the computed theoretical density values come out to 9.97, 4.75, 1.32, 12.61, 7.92, 4.86 Mg/m³.